Record 1
Compound: YCoH2N
Source: the Alexandria database
Functional: GGA-PBE
Structure: relaxed

Summary:
Electronic total energy, eV per atom: -6.36
Space group: P4/mmm

Unit cell a=3.422 b=3.422 c=3.872 alpha=90.00 beta=90.00 gamma=90.00
Atoms (fractional coordinates):
Y1 0.000 0.000 0.000
Co1 0.500 0.500 0.500
H1 0.000 0.500 0.500
H2 0.500 0.000 0.500
N1 0.500 0.500 0.000

***

Record 2
Compound: SiSb4Te
Source: the Alexandria database
Functional: GGA-PBE
Structure: relaxed

Summary:
Formation energy without anion corrections, meV/atom: 634
Space group: F-43m

Unit cell a=6.213 b=6.213 c=6.213 alpha=60.00 beta=60.00 gamma=60.00
Atoms (fractional coordinates):
Si1 0.000 0.000 0.000
Sb1 0.376 0.376 0.376
Sb2 0.376 0.376 0.873
Sb3 0.376 0.873 0.376
Sb4 0.873 0.376 0.376
Te1 0.750 0.750 0.750

***

Record 3
Compound: CaCe2SmTl4
Source: the Alexandria database
Functional: GGA-PBE
Structure: relaxed

Summary:
Space group: R-3m
E_form, eV per atom: -0.31

Unit cell a=9.582 b=9.582 c=9.582 alpha=33.29 beta=33.29 gamma=33.29
Atoms (fractional coordinates):
Ca1 0.000 0.000 0.000
Ce1 0.253 0.253 0.253
Ce2 0.747 0.747 0.747
Sm1 0.500 0.500 0.500
Tl1 0.126 0.126 0.126
Tl2 0.376 0.376 0.376
Tl3 0.624 0.624 0.624
Tl4 0.874 0.874 0.874

***

Record 4
Compound: Tb5AgBi2
Source: the Alexandria database
Functional: GGA-PBE
Structure: relaxed

Summary:
Space group: Cmcm
E_form, eV per atom: -0.24

Unit cell a=6.666 b=6.666 c=14.317 alpha=90.00 beta=90.00 gamma=128.63
Atoms (fractional coordinates):
Tb1 0.068 0.932 0.602
Tb2 0.068 0.932 0.898
Tb3 0.381 0.619 0.556
Tb4 0.381 0.619 0.944
Tb5 0.399 0.601 0.250
Tb6 0.601 0.399 0.750
Tb7 0.619 0.381 0.056
Tb8 0.619 0.381 0.444
Tb9 0.932 0.068 0.102
Tb10 0.932 0.068 0.398
Ag1 0.260 0.740 0.750
Ag2 0.740 0.260 0.250
Bi1 0.201 0.799 0.111
Bi2 0.201 0.799 0.389
Bi3 0.799 0.201 0.611
Bi4 0.799 0.201 0.889

***

Record 5
Compound: V12Ga6P
Source: the Alexandria database
Functional: GGA-PBE
Structure: relaxed

Summary:
Space group: R-3
E_form, eV per atom: -0.08

Unit cell a=6.432 b=6.432 c=6.432 alpha=91.28 beta=91.28 gamma=91.28
Atoms (fractional coordinates):
V1 0.024 0.931 0.302
V2 0.069 0.698 0.976
V3 0.127 0.442 0.355
V4 0.302 0.024 0.931
V5 0.355 0.127 0.442
V6 0.442 0.355 0.127
V7 0.558 0.645 0.873
V8 0.645 0.873 0.558
V9 0.698 0.976 0.069
V10 0.873 0.558 0.645
V11 0.931 0.302 0.024
V12 0.976 0.069 0.698
Ga1 0.223 0.381 0.767
Ga2 0.233 0.777 0.619
Ga3 0.381 0.767 0.223
Ga4 0.619 0.233 0.777
Ga5 0.767 0.223 0.381
Ga6 0.777 0.619 0.233
P1 0.500 0.500 0.500

***

Record 6
Compound: PaAsO6
Source: the Alexandria database
Functional: GGA-PBE
Structure: relaxed

Summary:
Formation energy without anion corrections, meV/atom: -1797
Space group: Fm-3m
Energy relative to the lowest polymorph listed for this composition, eV/atom: 0.0000

Unit cell a=5.627 b=5.627 c=5.627 alpha=60.00 beta=60.00 gamma=60.00
Atoms (fractional coordinates):
Pa1 0.000 0.000 0.000
As1 0.500 0.500 0.500
O1 0.270 0.270 0.730
O2 0.270 0.730 0.270
O3 0.270 0.730 0.730
O4 0.730 0.270 0.270
O5 0.730 0.270 0.730
O6 0.730 0.730 0.270